No. 1
Here is an optimized crystal structure of ZrNi2As from Alexandria via LeMat-Bulk. Energies are from PBEsol.

a b c (Å): 3.0941 3.9141 4.9086
angles (deg): 90.00 90.08 90.00
Space group P2/m (No. 10)
One atom of each set of equivalent atoms:
Zr (0.0000, 0.0000, 0.0000)
Ni (0.4994, 0.5000, 0.7587)
As (0.5000, 0.0000, 0.5000)

Summary:
As for the formation energy: -0.481 eV per atom.

No. 2
Here is an optimized crystal structure of SiHgIr2 from Alexandria via LeMat-Bulk. Energies are from PBEsol.

a b c (Å): 2.8854 2.8854 7.1327
angles (deg): 90.00 90.00 90.00
Space group P4/mmm (No. 123)
One atom of each set of equivalent atoms:
Si (0.0000, 0.0000, 0.0000)
Hg (0.0000, 0.0000, 0.5000)
Ir (0.5000, 0.5000, 0.1983)

Summary:
The value obtained for the energy relative to the elements, uncorrected is -0.248 eV/atom. As for the polymorph energy (0 for the lowest one): 0 meV/atom.

No. 3
Here is an optimized crystal structure of FeCuSb2 from Alexandria via LeMat-Bulk. Energies are from PBEsol.

a b c (Å): 3.2394 3.2394 7.1115
angles (deg): 90.00 90.00 90.00
Space group P4mm (No. 99)
One atom of each set of equivalent atoms:
Fe (0.0000, 0.0000, 0.0000)
Cu (0.5000, 0.5000, 0.8252)
Sb (0.0000, 0.0000, 0.6204)
Sb (0.5000, 0.5000, 0.1980)

Summary:
The value obtained for the energy relative to the elements, uncorrected is 0.192 eV/atom.

No. 4
Here is an optimized crystal structure of BaZnCd2 from Alexandria via LeMat-Bulk. Energies are from PBEsol.

a b c (Å): 3.7558 4.4975 6.6986
angles (deg): 90.00 106.25 90.00
Space group Pm (No. 6)
One atom of each set of equivalent atoms:
Ba (0.0000, 0.0000, 0.0000)
Zn (0.3701, 0.5000, 0.7402)
Cd (0.2636, 0.0000, 0.5235)
Cd (0.6915, 0.5000, 0.3816)

Summary:
As for the formation energy: -0.105 eV per atom.

No. 5
Here is an optimized crystal structure of CaFeTc2 from Alexandria via LeMat-Bulk. Energies are from PBEsol.

a b c (Å): 2.6200 4.5545 5.1338
angles (deg): 90.00 98.81 90.00
Space group P2/m (No. 10)
One atom of each set of equivalent atoms:
Ca (0.0000, 0.0000, 0.0000)
Fe (0.5000, 0.0000, 0.5000)
Tc (0.2801, 0.5000, 0.7374)

Summary:
As for the polymorph energy (0 for the lowest one): 230 meV/atom. As for the formation energy: 0.648 eV per atom.

No. 6
Here is an optimized crystal structure of MgMnTe2 from Alexandria via LeMat-Bulk. Energies are from PBEsol.

a b c (Å): 4.0926 6.4429 7.7600
angles (deg): 90.00 90.00 90.00
Space group Immm (No. 71)
One atom of each set of equivalent atoms:
Mg (0.0000, 0.0000, 0.0000)
Mn (0.0000, 0.0000, 0.5000)
Te (0.0000, 0.5000, 0.2321)

Summary:
The value obtained for the energy relative to the elements, uncorrected is 0.002 eV/atom.

No. 7
Here is an optimized crystal structure of La2YPb from Alexandria via LeMat-Bulk. Energies are from PBEsol.

a b c (Å): 4.8642 4.8642 10.0790
angles (deg): 90.00 90.00 90.00
Space group I-4m2 (No. 119)
One atom of each set of equivalent atoms:
La (0.0000, 0.0000, 0.0000)
La (0.0000, 0.5000, 0.2500)
Y (0.0000, 0.5000, 0.7500)
Pb (0.0000, 0.0000, 0.5000)

Summary:
As for the formation energy: -0.347 eV per atom.

No. 8
Here is an optimized crystal structure of ZrScAl2 from Alexandria via LeMat-Bulk. Energies are from PBEsol.

a b c (Å): 3.5281 4.5023 9.6227
angles (deg): 90.00 90.00 90.00
Space group Imm2 (No. 44)
One atom of each set of equivalent atoms:
Zr (0.0000, 0.0000, 0.0000)
Sc (0.0000, 0.5000, 0.2373)
Al (0.0000, 0.0000, 0.4750)
Al (0.0000, 0.5000, 0.7623)

Summary:
As for the polymorph energy (0 for the lowest one): 43 meV/atom. As for the formation energy: -0.401 eV per atom.

No. 9
Here is an optimized crystal structure of BaYW2 from Alexandria via LeMat-Bulk. Energies are from PBEsol.

a b c (Å): 3.3081 3.3106 9.1959
angles (deg): 90.00 91.23 90.00
Space group Pm (No. 6)
One atom of each set of equivalent atoms:
Ba (0.0000, 0.0000, 0.0000)
Y (0.5354, 0.5000, 0.6210)
W (0.0239, 0.0000, 0.4103)
W (0.5146, 0.5000, 0.2768)

Summary:
As for the polymorph energy (0 for the lowest one): 0 meV/atom. As for the formation energy: 0.558 eV per atom.

No. 10
Here is an optimized crystal structure of Na9Cu2O7 from Alexandria via LeMat-Bulk. Energies are from PBEsol.

a b c (Å): 9.3966 9.7432 10.1822
angles (deg): 90.00 90.00 90.00
Space group Pca2_1 (No. 29)
One atom of each set of equivalent atoms:
Na (0.0133, 0.2403, 0.0000)
Na (0.0233, 0.6582, 0.7481)
Na (0.0696, 0.5452, 0.0135)
Na (0.0742, 0.1683, 0.7243)
Na (0.0924, 0.0149, 0.4561)
Na (0.1514, 0.0487, 0.1644)
Na (0.1601, 0.6052, 0.3434)
Na (0.2153, 0.2744, 0.4139)
Na (0.2224, 0.7859, 0.0893)
Cu (0.1546, 0.8938, 0.8377)
Cu (0.1933, 0.4321, 0.6648)
O (0.0329, 0.7770, 0.9465)
O (0.0905, 0.4227, 0.8254)
O (0.0978, 0.9240, 0.6621)
O (0.1499, 0.5837, 0.5661)
O (0.1552, 0.8358, 0.3062)
O (0.1585, 0.0618, 0.9303)
O (0.1966, 0.2787, 0.1686)

Summary:
The value obtained for the energy relative to the elements, uncorrected is -1.077 eV/atom. As for the polymorph energy (0 for the lowest one): 0 meV/atom.

Copy entry 8 word for word.
Here is an optimized crystal structure of ZrScAl2 from Alexandria via LeMat-Bulk. Energies are from PBEsol.

a b c (Å): 3.5281 4.5023 9.6227
angles (deg): 90.00 90.00 90.00
Space group Imm2 (No. 44)
One atom of each set of equivalent atoms:
Zr (0.0000, 0.0000, 0.0000)
Sc (0.0000, 0.5000, 0.2373)
Al (0.0000, 0.0000, 0.4750)
Al (0.0000, 0.5000, 0.7623)

Summary:
As for the polymorph energy (0 for the lowest one): 43 meV/atom. As for the formation energy: -0.401 eV per atom.

Q: Which formula does entry 4 have?
A: BaZnCd2

Please write out number 6 again, unchanged.
Here is an optimized crystal structure of MgMnTe2 from Alexandria via LeMat-Bulk. Energies are from PBEsol.

a b c (Å): 4.0926 6.4429 7.7600
angles (deg): 90.00 90.00 90.00
Space group Immm (No. 71)
One atom of each set of equivalent atoms:
Mg (0.0000, 0.0000, 0.0000)
Mn (0.0000, 0.0000, 0.5000)
Te (0.0000, 0.5000, 0.2321)

Summary:
The value obtained for the energy relative to the elements, uncorrected is 0.002 eV/atom.